LiTm4Rh2 (GGA-PBE, relaxed); M_tot = 0.00 μB per formula unit; electronic total energy = -38.36 eV per formula unit; DOS at the Fermi energy = 10.5 states/eV/cell
1.0
6.5983 0.0000 0.0000
-0.9793 6.7883 0.0000
-2.5765 -3.2829 7.1273
Li Tm Rh
2 8 4
direct
0.0000 0.0000 0.0000
0.1818 0.8277 0.6351
0.1060 0.2600 0.8022
0.2901 0.5252 0.2970
0.3445 0.0568 0.3704
0.4071 0.7554 0.9665
0.6263 0.2210 0.8491
0.7419 0.5845 0.6776
0.7894 0.6148 0.2778
0.8446 0.1504 0.3459
0.2614 0.4358 0.5983
0.4545 0.2015 0.1091
0.7011 0.9217 0.5483
0.9981 0.6291 0.0373

=====

LiTm4Rh (GGA-PBE, relaxed); M_tot = 0.00 μB per formula unit; electronic total energy = -27.30 eV per formula unit; DOS at the Fermi energy = 12.6 states/eV/cell
1.0
-4.9367 4.9367 3.5772
4.9367 -4.9367 3.5772
4.9367 4.9367 -3.5772
Li Tm Rh
2 8 2
direct
0.0000 0.0000 0.0000
0.7500 0.2500 0.5000
0.0523 0.8142 0.2382
0.0758 0.3839 0.3081
0.0758 0.7676 0.6919
0.1339 0.3258 0.8081
0.5176 0.3258 0.1919
0.5642 0.3023 0.7382
0.5642 0.8260 0.2618
0.5760 0.8142 0.7618
0.3531 0.8531 0.5000
0.6031 0.6031 0.0000

=====

LiTm5Rh6 (GGA-PBE, relaxed); M_tot = 0.00 μB per formula unit; electronic total energy = -78.69 eV per formula unit; DOS at the Fermi energy = 3.4 states/eV/cell
1.0
-2.3340 3.3645 7.0092
2.3340 -3.3645 7.0092
2.3340 3.3645 -7.0092
Li Tm Rh
1 5 6
direct
0.0000 0.0000 0.0000
0.1531 0.6531 0.5000
0.3285 0.3285 0.0000
0.5000 0.0000 0.5000
0.6715 0.6715 0.0000
0.8469 0.3469 0.5000
0.0853 0.8334 0.2519
0.2602 0.5000 0.7602
0.4185 0.1666 0.2519
0.5815 0.8334 0.7481
0.7398 0.5000 0.2398
0.9147 0.1666 0.7481

=====

LiTm2Rh (GGA-PBE, relaxed); M_tot = 0.00 μB per formula unit; electronic total energy = -20.04 eV per formula unit; DOS at the Fermi energy = 2.7 states/eV/cell
1.0
4.7900 0.0000 0.0000
0.0000 4.7900 0.0000
0.0000 0.0000 3.5729
Li Tm Rh
1 2 1
direct
0.0000 0.0000 0.0000
0.0000 0.5000 0.5000
0.5000 0.0000 0.5000
0.5000 0.5000 0.0000

=====

LiTmRh2 (GGA-PBE, relaxed); M_tot = 0.00 μB per formula unit; electronic total energy = -23.19 eV per formula unit; DOS at the Fermi energy = 2.7 states/eV/cell
1.0
4.1755 0.0000 0.0000
0.0000 4.1755 0.0000
0.0000 0.0000 3.7112
Li Tm Rh
1 1 2
direct
0.0000 0.0000 0.0000
0.5000 0.5000 0.0000
0.0000 0.5000 0.5000
0.5000 0.0000 0.5000

=====

LiTm2Rh (GGA-PBE, relaxed); M_tot = 0.00 μB per formula unit; electronic total energy = -19.18 eV per formula unit; DOS at the Fermi energy = 2.5 states/eV/cell
1.0
1.8893 1.0908 9.8112
-1.8893 1.0908 9.8112
0.0000 -2.1816 9.8112
Li Tm Rh
1 2 1
direct
0.0000 0.0000 0.0000
0.1132 0.1132 0.1132
0.8868 0.8868 0.8868
0.5000 0.5000 0.5000

=====

LiTmRh2 (GGA-PBE, relaxed); M_tot = 0.00 μB per formula unit; electronic total energy = -23.37 eV per formula unit; DOS at the Fermi energy = 2.4 states/eV/cell
1.0
0.0000 3.1777 3.1777
3.1777 0.0000 3.1777
3.1777 3.1777 0.0000
Li Tm Rh
1 1 2
direct
0.0000 0.0000 0.0000
0.5000 0.5000 0.5000
0.2500 0.2500 0.2500
0.7500 0.7500 0.7500

=====

LiTm2Rh (GGA-PBE, relaxed); M_tot = 0.00 μB per formula unit; electronic total energy = -20.37 eV per formula unit; DOS at the Fermi energy = 2.3 states/eV/cell
1.0
0.0000 3.4388 3.4388
3.4388 0.0000 3.4388
3.4388 3.4388 0.0000
Li Tm Rh
1 2 1
direct
0.0000 0.0000 0.0000
0.2500 0.2500 0.2500
0.7500 0.7500 0.7500
0.5000 0.5000 0.5000

=====

no.,DFT formation energy (eV per atom)
1,-0.5509
2,-0.0250
3,-0.8595
4,-0.4590
5,-0.5265
6,-0.2436
7,-0.5710
8,-0.5400